VASP calculation (PBE) on HfV3 after structural relaxation.

For the calculated total energy, the calculation gives -0.665 Ry per atom. The energy above the most stable polymorph in this dataset comes out at 0.80 eV per formula unit. The calculation puts the formation energy at 107 kJ/mol of formula units. The calculation puts the density of states at the Fermi level at 1.696 states/eV/atom. The calculation puts the mass density at 8.75 g/cm³. The calculation puts the total magnetization at 0.05 μB per cell.

The structure belongs to space group I4/mmm (No. 139); the cell edges are 3.704, 3.704 and 9.167 Å and the angles 90.00°, 90.00° and 90.00°. The distinct sites, in fractional coordinates, are Hf at (0.000, 0.000, 0.000), V at (0.000, 0.000, 0.500) and V at (0.000, 0.500, 0.250).